(1)
La6Si3BrCl2 PBE-GGA relaxed; N(E_F) = 6.0 states/eV/f.u.; E_tot = -65.8 eV per cell; magnetic moment = 0.000 μB per atom; formation energy without anion corrections = -1.22 eV/atom; volume = 353.2 Å³ per cell; space group = C2/m, No. 12
1.0
9.510 -2.187 0.000
9.510 2.187 0.000
-1.981 0.000 8.492
La Si Br Cl
6 3 1 2
Direct
0.004 0.004 0.233
0.327 0.327 0.428
0.339 0.339 0.904
0.661 0.661 0.096
0.673 0.673 0.572
0.996 0.996 0.767
0.166 0.166 0.333
0.500 0.500 0.000
0.834 0.834 0.667
0.500 0.500 0.500
0.168 0.168 0.835
0.832 0.832 0.165


(2)
La4Si2BrCl PBE-GGA relaxed; N(E_F) = 4.8 states/eV/f.u.; E_tot = -43.4 eV per cell; magnetic moment = 0.000 μB per atom; formation energy without anion corrections = -1.16 eV/atom; volume = 227.4 Å³ per cell; space group = I4/mmm, No. 139
1.0
-3.066 3.066 6.048
3.066 -3.066 6.048
3.066 3.066 -6.048
La Si Br Cl
4 2 1 1
Direct
0.000 0.500 0.500
0.246 0.246 0.000
0.500 0.000 0.500
0.754 0.754 0.000
0.250 0.750 0.500
0.750 0.250 0.500
0.500 0.500 0.000
0.000 0.000 0.000


(3)
La8Si3Br3Cl PBE-GGA relaxed; N(E_F) = 10.8 states/eV/f.u.; E_tot = -79.0 eV per cell; magnetic moment = 0.000 μB per atom; formation energy without anion corrections = -1.09 eV/atom; volume = 470.1 Å³ per cell; space group = R-3m, No. 166
1.0
4.338 2.504 7.212
-4.338 2.504 7.212
0.000 -5.009 7.212
La Si Br Cl
8 3 3 1
Direct
0.227 0.750 0.750
0.241 0.241 0.241
0.250 0.250 0.773
0.250 0.773 0.250
0.750 0.227 0.750
0.750 0.750 0.227
0.759 0.759 0.759
0.773 0.250 0.250
0.000 0.000 0.500
0.000 0.500 0.000
0.500 0.000 0.000
0.000 0.500 0.500
0.500 0.000 0.500
0.500 0.500 0.000
0.500 0.500 0.500


(4)
La2TeBrCl PBE-GGA relaxed; N(E_F) = 3.6 states/eV/f.u.; E_tot = -25.5 eV per cell; magnetic moment = 0.000 μB per atom; formation energy without anion corrections = -1.80 eV/atom; volume = 176.4 Å³ per cell; space group = P3m1, No. 156
1.0
4.405 0.000 0.000
-2.202 3.815 0.000
0.000 0.000 10.501
La Te Br Cl
2 1 1 1
Direct
0.000 0.000 0.000
0.333 0.667 0.644
0.667 0.333 0.822
0.000 0.000 0.472
0.333 0.667 0.148


(5)
LaTiBrCl2 PBE-GGA relaxed; N(E_F) = 10.1 states/eV/f.u.; E_tot = -22.1 eV per cell; magnetic moment = 0.770 μB per atom; formation energy without anion corrections = -0.78 eV/atom; volume = 183.4 Å³ per cell; space group = P4/mmm, No. 123
1.0
5.545 0.000 0.000
0.000 5.545 0.000
0.000 0.000 5.966
La Ti Br Cl
1 1 1 2
Direct
0.000 0.000 0.000
0.500 0.500 0.500
0.000 0.000 0.500
0.000 0.500 0.000
0.500 0.000 0.000


(6)
La4Tl2BrCl2 PBE-GGA relaxed; N(E_F) = 7.1 states/eV/f.u.; E_tot = -40.4 eV per cell; magnetic moment = 0.000 μB per atom; formation energy without anion corrections = -1.18 eV/atom; volume = 272.8 Å³ per cell; space group = C2/m, No. 12
1.0
7.581 -2.345 0.000
7.581 2.345 0.000
-1.779 0.000 7.671
La Tl Br Cl
4 2 1 2
Direct
0.011 0.011 0.263
0.251 0.251 0.728
0.749 0.749 0.272
0.989 0.989 0.737
0.391 0.391 0.451
0.609 0.609 0.549
0.500 0.500 0.000
0.167 0.167 0.050
0.833 0.833 0.950


(7)
LaWBr2Cl PBE-GGA relaxed; N(E_F) = 3.2 states/eV/f.u.; E_tot = -23.3 eV per cell; magnetic moment = 1.200 μB per atom; formation energy without anion corrections = -0.04 eV/atom; volume = 191.4 Å³ per cell; space group = P4/mmm, No. 123
1.0
5.877 0.000 0.000
0.000 5.877 0.000
0.000 0.000 5.542
La W Br Cl
1 1 2 1
Direct
0.000 0.000 0.000
0.500 0.500 0.500
0.000 0.500 0.000
0.500 0.000 0.000
0.000 0.000 0.500


(8)
LiBr2Cl PBE-GGA relaxed; N(E_F) = 2.0 states/eV/f.u.; E_tot = -8.8 eV per cell; magnetic moment = 0.000 μB per atom; formation energy without anion corrections = -0.44 eV/atom; volume = 132.5 Å³ per cell; space group = Cmmm, No. 65
1.0
2.134 -4.306 0.000
2.134 4.306 0.000
0.000 0.000 7.212
Li Br Cl
1 2 1
Direct
0.000 0.000 0.000
0.500 0.500 0.186
0.500 0.500 0.814
0.000 0.000 0.500


(9)
LiBr2Cl PBE-GGA relaxed; N(E_F) = 3.1 states/eV/f.u.; E_tot = -7.5 eV per cell; magnetic moment = 0.232 μB per atom; formation energy without anion corrections = -0.11 eV/atom; volume = 120.5 Å³ per cell; space group = R-3m, No. 166
1.0
1.690 0.976 12.176
-1.690 0.976 12.176
0.000 -1.952 12.176
Li Br Cl
1 2 1
Direct
0.000 0.000 0.000
0.063 0.063 0.063
0.937 0.937 0.937
0.500 0.500 0.500


(10)
LiBrCl2 PBE-GGA relaxed; N(E_F) = 0.0 states/eV/f.u.; E_tot = -10.8 eV per cell; magnetic moment = 0.000 μB per atom; formation energy without anion corrections = -0.89 eV/atom; volume = 101.8 Å³ per cell; space group = R-3m, No. 166
1.0
1.999 1.154 7.359
-1.999 1.154 7.359
0.000 -2.308 7.359
Li Br Cl
1 1 2
Direct
0.000 0.000 0.000
0.500 0.500 0.500
0.390 0.390 0.390
0.610 0.610 0.610


(11)
LiBr2Cl PBE-GGA relaxed; N(E_F) = 0.0 states/eV/f.u.; E_tot = -10.2 eV per cell; magnetic moment = 0.000 μB per atom; formation energy without anion corrections = -0.78 eV/atom; volume = 122.8 Å³ per cell; space group = Cm, No. 8
1.0
5.530 -1.921 0.000
5.530 1.921 0.000
-0.481 0.000 5.777
Li Br Cl
1 2 1
Direct
0.000 0.000 0.000
0.516 0.516 0.534
0.655 0.655 0.215
0.377 0.377 0.860


(12)
LiBrCl2 PBE-GGA relaxed; N(E_F) = 0.5 states/eV/f.u.; E_tot = -9.9 eV per cell; magnetic moment = 0.000 μB per atom; formation energy without anion corrections = -0.66 eV/atom; volume = 120.9 Å³ per cell; space group = Imm2, No. 44
1.0
-1.882 1.882 8.532
1.882 -1.882 8.532
1.882 1.882 -8.532
Li Br Cl
1 1 2
Direct
0.000 0.000 0.000
0.749 0.249 0.500
0.249 0.749 0.500
0.500 0.500 0.000